No. 1
Entry from Alexandria: an optimized crystal structure of MoI2NCl (PBEsol).

Summary:
As for the uncorrected formation energy: 1.74 eV per atom. As for the density: 5.27 g/cm³. The total magnetization comes out at 4.0 μB per formula unit.

```
data_MoI2NCl
_chemical_formula_sum 'Mo1 I2 N1 Cl1'
_space_group_name_H-M_alt 'P 1'
_space_group_IT_number 1
_cell_length_a 3.328
_cell_length_b 6.146
_cell_length_c 6.146
_cell_angle_alpha 90.00
_cell_angle_beta 90.00
_cell_angle_gamma 90.00
loop_
_space_group_symop_operation_xyz
'x,y,z'
loop_
_atom_site_label
_atom_site_fract_x
_atom_site_fract_y
_atom_site_fract_z
I1 0.000 0.000 0.500
I2 0.000 0.500 0.000
Mo1 0.500 0.500 0.500
N1 0.500 0.000 0.000
Cl1 0.000 0.000 0.000
```

---

No. 2
Entry from Alexandria: an optimized crystal structure of MoIClO2 (PBEsol).

Summary:
As for the uncorrected formation energy: -0.83 eV per atom. As for the density: 5.68 g/cm³. The total magnetization comes out at 0.0 μB per formula unit.

```
data_MoIClO2
_chemical_formula_sum 'Mo1 I1 Cl1 O2'
_space_group_name_H-M_alt 'P 1'
_space_group_IT_number 1
_cell_length_a 3.885
_cell_length_b 3.885
_cell_length_c 5.626
_cell_angle_alpha 90.00
_cell_angle_beta 90.00
_cell_angle_gamma 90.00
loop_
_space_group_symop_operation_xyz
'x,y,z'
loop_
_atom_site_label
_atom_site_fract_x
_atom_site_fract_y
_atom_site_fract_z
I1 0.000 0.000 0.500
Mo1 0.000 0.000 0.000
O1 0.000 0.500 0.000
O2 0.500 0.000 0.000
Cl1 0.500 0.500 0.500
```